Model P:
# NdAgHg6

A relaxed structure of NdAgHg6 (PBE-GGA, Alexandria via LeMat-Bulk).

```
NdAgHg6
1.0
8.435 0.000 1.884
4.007 7.423 1.884
3.389 2.021 4.653
Nd Ag Hg
1 1 6
direct
0.000 0.000 0.000
0.500 0.500 0.500
0.171 0.171 0.118
0.171 0.540 0.118
0.460 0.829 0.882
0.829 0.460 0.882
0.829 0.829 0.882
0.540 0.171 0.118
```

Summary:
D(E_F)   0.653 states/eV/atom
SG   R-3m (166)

---

Model Q:
# NdAgHg6

A relaxed structure of NdAgHg6 (PBE-GGA, Alexandria via LeMat-Bulk).

```
NdAgHg6
1.0
5.019 0.000 0.000
0.000 6.610 0.119
0.000 -2.820 5.979
Nd Ag Hg
1 1 6
direct
0.000 0.115 0.885
0.500 0.335 0.665
0.000 0.135 0.395
0.000 0.605 0.865
0.000 0.612 0.388
0.500 0.424 0.140
0.500 0.860 0.576
0.500 0.914 0.086
```

Summary:
D(E_F)   0.507 states/eV/atom
SG   Amm2 (38)

---

Tell me which of them is the most stable. Sure, it is model Q.

---

Model P:
# Nd3Ag3Hg2

A relaxed structure of Nd3Ag3Hg2 (PBE-GGA, Alexandria via LeMat-Bulk).

```
Nd3Ag3Hg2
1.0
-2.811 1.107 2.864
-1.902 -7.312 0.960
5.528 3.084 4.234
Nd Ag Hg
3 3 2
direct
0.500 0.370 0.370
0.500 0.630 0.000
0.500 0.000 0.630
0.000 0.773 0.773
0.000 0.227 0.000
0.000 0.000 0.227
0.000 0.333 0.667
0.000 0.667 0.333
```

Summary:
D(E_F)   0.904 states/eV/atom
SG   P-62m (189)

---

Model Q:
# Nd3Ag3Hg2

A relaxed structure of Nd3Ag3Hg2 (PBE-GGA, Alexandria via LeMat-Bulk).

```
Nd3Ag3Hg2
1.0
-4.039 -2.643 0.199
4.147 -2.213 -3.876
6.026 -8.362 11.221
Nd Ag Hg
6 6 4
direct
0.916 0.831 0.396
0.084 0.169 0.896
0.916 0.831 0.104
0.084 0.169 0.604
0.649 0.297 0.250
0.351 0.703 0.750
0.608 0.216 0.456
0.392 0.784 0.956
0.608 0.216 0.044
0.392 0.784 0.544
0.373 0.746 0.250
0.627 0.254 0.750
0.791 0.582 0.895
0.209 0.418 0.395
0.791 0.582 0.605
0.209 0.418 0.105
```

Summary:
D(E_F)   0.770 states/eV/atom
SG   Cmcm (63)

---

Tell me which of them is the most stable. Sure, it is model Q.

---

Model P:
# Nd8Ag2Hg

A relaxed structure of Nd8Ag2Hg (PBE-GGA, Alexandria via LeMat-Bulk).

```
Nd8Ag2Hg
1.0
5.225 0.000 -1.687
-1.327 7.516 -4.109
-0.075 -0.131 8.701
Nd Ag Hg
8 2 1
direct
0.596 0.453 0.192
0.318 0.042 0.636
0.140 0.196 0.279
0.071 0.722 0.142
0.860 0.804 0.721
0.682 0.958 0.364
0.404 0.547 0.808
0.929 0.278 0.858
0.226 0.617 0.452
0.774 0.383 0.548
0.500 0.000 0.000
```

Summary:
D(E_F)   1.098 states/eV/atom
SG   C2/m (12)

---

Model Q:
# Nd8Ag2Hg

A relaxed structure of Nd8Ag2Hg (PBE-GGA, Alexandria via LeMat-Bulk).

```
Nd8Ag2Hg
1.0
-3.145 -3.799 -1.995
2.879 -4.836 4.669
-5.750 5.783 5.144
Nd Ag Hg
8 2 1
direct
0.409 0.537 0.818
0.670 0.977 0.339
0.804 0.682 0.609
0.973 0.233 0.946
0.196 0.318 0.391
0.330 0.023 0.661
0.591 0.463 0.182
0.027 0.767 0.054
0.817 0.283 0.635
0.183 0.717 0.365
0.500 0.000 0.000
```

Summary:
D(E_F)   1.036 states/eV/atom
SG   C2/m (12)

---

Tell me which of them is the most stable. Sure, it is model P.

---

Model P:
# NdTlAgHg

A relaxed structure of NdTlAgHg (PBE-GGA, Alexandria via LeMat-Bulk).

```
NdTlAgHg
1.0
5.200 0.000 0.000
2.600 4.504 0.000
2.600 1.501 4.246
Nd Tl Ag Hg
1 1 1 1
direct
0.000 0.000 0.000
0.500 0.500 0.500
0.750 0.750 0.750
0.250 0.250 0.250
```

Summary:
D(E_F)   0.560 states/eV/atom
SG   F-43m (216)

---

Model Q:
# NdTlAgHg

A relaxed structure of NdTlAgHg (PBE-GGA, Alexandria via LeMat-Bulk).

```
NdTlAgHg
1.0
-3.188 -4.042 0.560
-1.562 -2.661 -4.158
1.748 -4.807 -0.804
Tl Nd Hg Ag
1 1 1 1
direct
0.250 0.250 0.250
0.000 0.000 0.000
0.750 0.750 0.750
0.500 0.500 0.500
```

Summary:
D(E_F)   0.697 states/eV/atom
SG   F-43m (216)

---

Tell me which of them is the most stable. Sure, it is model P.

---

Model P:
# NiAg3Hg

A relaxed structure of NiAg3Hg (PBE-GGA, Alexandria via LeMat-Bulk).

```
NiAg3Hg
1.0
4.831 0.000 0.000
0.000 4.831 0.000
0.000 0.000 4.831
Ni Hg Ag
1 1 3
direct
0.000 0.000 0.000
0.500 0.500 0.500
0.000 0.500 0.000
0.000 0.000 0.500
0.500 0.000 0.000
```

Summary:
D(E_F)   0.671 states/eV/atom
SG   Pm-3m (221)

---

Model Q:
# NiAg3Hg

A relaxed structure of NiAg3Hg (PBE-GGA, Alexandria via LeMat-Bulk).

```
NiAg3Hg
1.0
5.185 0.000 0.000
0.000 5.185 0.000
0.000 0.000 5.185
Ni Hg Ag
1 1 3
direct
0.500 0.500 0.500
0.000 0.000 0.000
0.000 0.500 0.000
0.000 0.000 0.500
0.500 0.000 0.000
```

Summary:
D(E_F)   1.247 states/eV/atom
SG   Pm-3m (221)

---

Tell me which of them is the most stable. Sure, it is model P.

---

Model P:
# Ni2Ag2Hg

A relaxed structure of Ni2Ag2Hg (PBE-GGA, Alexandria via LeMat-Bulk).

```
Ni2Ag2Hg
1.0
-2.679 -0.541 1.849
1.399 -2.724 1.230
2.567 2.684 7.449
Ni Hg Ag
2 1 2
direct
0.750 0.250 0.500
0.250 0.750 0.500
0.000 0.000 0.000
0.384 0.384 0.233
0.616 0.616 0.767
```

Summary:
D(E_F)   1.219 states/eV/atom
SG   I4/mmm (139)

---

Model Q:
# Ni2Ag2Hg

A relaxed structure of Ni2Ag2Hg (PBE-GGA, Alexandria via LeMat-Bulk).

```
Ni2Ag2Hg
1.0
-1.277 -2.615 2.433
3.142 -2.051 -0.555
3.610 0.550 5.443
Ni Hg Ag
2 1 2
direct
0.404 0.404 0.191
0.596 0.596 0.809
0.000 0.000 0.000
0.750 0.250 0.500
0.250 0.750 0.500
```

Summary:
D(E_F)   0.776 states/eV/atom
SG   I4/mmm (139)

---

Tell me which of them is the most stable. Sure, it is model P.